Record 1
Below is crystalline Ba6As2BrCl3 at its relaxed geometry, with properties calculated at the PBE level.

Summary:
The total magnetization comes out at 0.0000 μB per atom. The calculation puts the calculated total energy at -4.035 eV per atom. The uncorrected formation energy is -1697 meV per atom. The space-group type is C2/m.

Cell: 10.432 10.432 9.324 Å, 101.99 101.99 26.21°
Fractional positions:
Ba 0.004 0.004 0.261
Ba 0.329 0.329 0.428
Ba 0.331 0.331 0.901
Ba 0.669 0.669 0.099
Ba 0.671 0.671 0.572
Ba 0.996 0.996 0.739
As 0.164 0.164 0.327
As 0.836 0.836 0.673
Br 0.500 0.500 0.000
Cl 0.166 0.166 0.836
Cl 0.500 0.500 0.500
Cl 0.834 0.834 0.164



Record 2
Below is crystalline Li6Bi2Au at its relaxed geometry, with properties calculated at the PBE level.

Summary:
The total magnetization comes out at 0.0000 μB per atom. The calculation puts the calculated total energy at -2.905 eV per atom. The space-group type is C2/m. The relative energy among the computed polymorphs comes out at 0 meV per atom. Its formation energy is -402 meV per atom.

Cell: 8.429 8.429 3.497 Å, 101.51 101.51 52.55°
Fractional positions:
Li 0.143 0.523 0.334
Li 0.215 0.785 0.000
Li 0.477 0.857 0.666
Li 0.523 0.143 0.334
Li 0.785 0.215 0.000
Li 0.857 0.477 0.666
Bi 0.163 0.163 0.163
Bi 0.837 0.837 0.837
Au 0.500 0.500 0.500



Record 3
Below is crystalline CdPt2Pb at its relaxed geometry, with properties calculated at the PBE level.

Summary:
The total magnetization comes out at 0.0000 μB per atom. The calculation puts the calculated total energy at -4.309 eV per atom. The space-group type is Pmmm. The relative energy among the computed polymorphs comes out at 47 meV per atom. Its formation energy is -132 meV per atom.

Cell: 3.577 3.612 6.023 Å, 90.00 90.00 90.00°
Fractional positions:
Cd 0.000 0.000 0.000
Pt 0.500 0.500 0.236
Pt 0.500 0.500 0.764
Pb 0.000 0.000 0.500



Record 4
Below is crystalline Hf2CS at its relaxed geometry, with properties calculated at the PBE level.

Summary:
The total magnetization comes out at 0.0000 μB per atom. The calculation puts the calculated total energy at -9.016 eV per atom. The uncorrected formation energy is -701 meV per atom. The space-group type is Cm. The relative energy among the computed polymorphs comes out at 641 meV per atom.

Cell: 3.520 3.520 6.986 Å, 90.06 90.06 60.00°
Fractional positions:
Hf 0.000 0.000 0.000
Hf 0.667 0.667 0.401
C 0.667 0.667 0.099
S 0.001 0.001 0.637



Record 5
Below is crystalline AgSe at its relaxed geometry, with properties calculated at the PBE level.

Summary:
The total magnetization comes out at 0.0000 μB per atom. The calculation puts the calculated total energy at -3.026 eV per atom. The uncorrected formation energy is 142 meV per atom. The space-group type is P4/nmm.

Cell: 2.877 2.877 10.488 Å, 90.00 90.00 90.00°
Fractional positions:
Ag 0.250 0.250 0.103
Ag 0.750 0.750 0.897
Se 0.250 0.250 0.685
Se 0.750 0.750 0.315



Record 6
Below is crystalline LaCuSb2 at its relaxed geometry, with properties calculated at the PBE level.

Summary:
The total magnetization comes out at 0.0000 μB per atom. The calculation puts the calculated total energy at -4.541 eV per atom. The uncorrected formation energy is -224 meV per atom. The space-group type is Fm-3m.

Cell: 5.260 5.260 5.260 Å, 60.00 60.00 60.00°
Fractional positions:
La 0.000 0.000 0.000
Cu 0.500 0.500 0.500
Sb 0.250 0.250 0.250
Sb 0.750 0.750 0.750



Record 7
Below is crystalline CrNiMo at its relaxed geometry, with properties calculated at the PBE level.

Summary:
The total magnetization comes out at 0.0001 μB per atom. The calculation puts the calculated total energy at -8.633 eV per atom. The space-group type is I4mm. The relative energy among the computed polymorphs comes out at 18 meV per atom. Its formation energy is 112 meV per atom.

Cell: 6.180 6.180 6.180 Å, 156.13 156.13 34.01°
Fractional positions:
Cr 0.000 0.000 0.000
Ni 0.645 0.645 0.000
Mo 0.316 0.316 0.000



Record 8
Below is crystalline CeFe3Ge2 at its relaxed geometry, with properties calculated at the PBE level.

Summary:
The total magnetization comes out at 0.5132 μB per atom. The calculation puts the calculated total energy at -7.056 eV per atom. The space-group type is P6/mmm. Its formation energy is -296 meV per atom.

Cell: 5.285 5.285 3.805 Å, 90.00 90.00 120.00°
Fractional positions:
Ce 0.000 0.000 0.000
Fe 0.000 0.500 0.500
Fe 0.500 0.000 0.500
Fe 0.500 0.500 0.500
Ge 0.333 0.667 0.000
Ge 0.667 0.333 0.000



Record 9
Below is crystalline La2Pr5N5 at its relaxed geometry, with properties calculated at the PBE level.

Summary:
The total magnetization comes out at 0.1523 μB per atom. The calculation puts the calculated total energy at -7.214 eV per atom. The uncorrected formation energy is -932 meV per atom. The space-group type is C2/m.

Cell: 6.438 6.438 13.346 Å, 102.79 102.79 32.09°
Fractional positions:
La 0.067 0.067 0.317
La 0.933 0.933 0.683
Pr 0.279 0.279 0.118
Pr 0.352 0.352 0.439
Pr 0.500 0.500 0.000
Pr 0.648 0.648 0.561
Pr 0.721 0.721 0.882
N 0.000 0.000 0.500
N 0.134 0.134 0.958
N 0.317 0.317 0.609
N 0.683 0.683 0.391
N 0.866 0.866 0.042



Record 10
Below is crystalline CsZnAg2Cl4 at its relaxed geometry, with properties calculated at the PBE level.

Summary:
The total magnetization comes out at 0.0000 μB per atom. The calculation puts the calculated total energy at -2.704 eV per atom. The uncorrected formation energy is -802 meV per atom. The space-group type is Fmm2.

Cell: 6.824 6.823 7.337 Å, 57.48 57.48 65.05°
Fractional positions:
Cs 0.000 0.000 0.000
Zn 0.500 0.500 0.500
Ag 0.251 0.251 0.249
Ag 0.751 0.751 0.749
Cl 0.163 0.526 0.837
Cl 0.474 0.837 0.163
Cl 0.526 0.163 0.474
Cl 0.837 0.474 0.526



Record 11
Below is crystalline BeBiH2Cl at its relaxed geometry, with properties calculated at the PBE level.

Summary:
The total magnetization comes out at 0.0000 μB per atom. The calculation puts the calculated total energy at -2.957 eV per atom. The space-group type is P4/mmm.

Cell: 3.979 3.979 5.149 Å, 90.00 90.00 90.00°
Fractional positions:
Be 0.000 0.000 0.000
Bi 0.000 0.000 0.500
H 0.000 0.500 0.500
H 0.500 0.000 0.500
Cl 0.500 0.500 0.000



Record 12
Below is crystalline LiMg2Au8 at its relaxed geometry, with properties calculated at the PBE level.

Summary:
The total magnetization comes out at 0.0000 μB per atom. The calculation puts the calculated total energy at -3.235 eV per atom. The space-group type is C2/m. Its formation energy is -388 meV per atom.

Cell: 7.635 7.635 6.649 Å, 107.71 107.71 31.74°
Fractional positions:
Li 0.000 0.000 0.000
Mg 0.279 0.279 0.348
Mg 0.721 0.721 0.652
Au 0.099 0.099 0.445
Au 0.177 0.177 0.910
Au 0.360 0.360 0.813
Au 0.458 0.458 0.271
Au 0.542 0.542 0.729
Au 0.640 0.640 0.187
Au 0.823 0.823 0.090
Au 0.901 0.901 0.555



Record 13
Below is crystalline CaUHgI6 at its relaxed geometry, with properties calculated at the PBE level.

Summary:
The total magnetization comes out at 0.2222 μB per atom. The calculation puts the calculated total energy at -3.523 eV per atom. The uncorrected formation energy is -979 meV per atom. The space-group type is P-31c.

Cell: 7.826 7.826 19.425 Å, 90.00 90.00 120.00°
Fractional positions:
Ca 0.333 0.667 0.250
Ca 0.667 0.333 0.750
U 0.333 0.667 0.750
U 0.667 0.333 0.250
Hg 0.000 0.000 0.000
Hg 0.000 0.000 0.500
I 0.012 0.361 0.659
I 0.012 0.651 0.841
I 0.349 0.361 0.841
I 0.349 0.988 0.659
I 0.361 0.012 0.159
I 0.361 0.349 0.341
I 0.639 0.651 0.659
I 0.639 0.988 0.841
I 0.651 0.012 0.341
I 0.651 0.639 0.159
I 0.988 0.349 0.159
I 0.988 0.639 0.341



Record 14
Below is crystalline Tm2ZnFe at its relaxed geometry, with properties calculated at the PBE level.

Summary:
The total magnetization comes out at 0.0000 μB per atom. The calculation puts the calculated total energy at -4.823 eV per atom. The space-group type is P4/mmm. The relative energy among the computed polymorphs comes out at 0 meV per atom. Its formation energy is -154 meV per atom.

Cell: 3.342 3.342 7.066 Å, 90.00 90.00 90.00°
Fractional positions:
Tm 0.000 0.000 0.224
Tm 0.000 0.000 0.776
Zn 0.500 0.500 0.500
Fe 0.500 0.500 0.000



Record 15
Below is crystalline La2ErSb3Pd4 at its relaxed geometry, with properties calculated at the PBE level.

Summary:
The total magnetization comes out at 0.0000 μB per atom. The calculation puts the calculated total energy at -5.720 eV per atom. The uncorrected formation energy is -964 meV per atom. The space-group type is P-4m2.

Cell: 4.540 4.540 11.511 Å, 90.00 90.00 90.00°
Fractional positions:
La 0.000 0.500 0.216
La 0.500 0.000 0.784
Er 0.000 0.000 0.500
Sb 0.000 0.500 0.870
Sb 0.500 0.000 0.130
Sb 0.500 0.500 0.500
Pd 0.000 0.000 0.000
Pd 0.000 0.500 0.642
Pd 0.500 0.000 0.358
Pd 0.500 0.500 0.000



Record 16
Below is crystalline CeSm12Tl6 at its relaxed geometry, with properties calculated at the PBE level.

Summary:
The total magnetization comes out at 0.2168 μB per atom. The calculation puts the calculated total energy at -4.030 eV per atom. The space-group type is R-3m. Its formation energy is 11 meV per atom.

Cell: 9.027 9.027 9.027 Å, 103.04 103.04 103.04°
Fractional positions:
Ce 0.000 0.000 0.000
Sm 0.121 0.500 0.879
Sm 0.121 0.879 0.500
Sm 0.178 0.447 0.447
Sm 0.447 0.178 0.447
Sm 0.447 0.447 0.178
Sm 0.500 0.121 0.879
Sm 0.500 0.879 0.121
Sm 0.553 0.553 0.822
Sm 0.553 0.822 0.553
Sm 0.822 0.553 0.553
Sm 0.879 0.121 0.500
Sm 0.879 0.500 0.121
Tl 0.245 0.245 0.704
Tl 0.245 0.704 0.245
Tl 0.296 0.755 0.755
Tl 0.704 0.245 0.245
Tl 0.755 0.296 0.755
Tl 0.755 0.755 0.296



Record 17
Below is crystalline YAlSe3 at its relaxed geometry, with properties calculated at the PBE level.

Summary:
The total magnetization comes out at 0.0000 μB per atom. The calculation puts the calculated total energy at -5.496 eV per atom. The uncorrected formation energy is -1364 meV per atom. The space-group type is Ama2. The relative energy among the computed polymorphs comes out at 7 meV per atom.

Cell: 4.024 12.202 12.202 Å, 148.30 90.00 90.00°
Fractional positions:
Y 0.250 0.174 0.826
Y 0.750 0.826 0.174
Al 0.250 0.302 0.556
Al 0.750 0.556 0.302
Se 0.250 0.048 0.489
Se 0.250 0.370 0.208
Se 0.250 0.666 0.902
Se 0.750 0.208 0.370
Se 0.750 0.489 0.048
Se 0.750 0.902 0.666



Record 18
Below is crystalline AsPd3Ru at its relaxed geometry, with properties calculated at the PBE level.

Summary:
The total magnetization comes out at 0.6366 μB per atom. The calculation puts the calculated total energy at -5.201 eV per atom. The space-group type is Pm-3m. The relative energy among the computed polymorphs comes out at 0 meV per atom. Its formation energy is 700 meV per atom.

Cell: 4.608 4.608 4.608 Å, 90.00 90.00 90.00°
Fractional positions:
As 0.000 0.000 0.000
Pd 0.000 0.000 0.500
Pd 0.000 0.500 0.000
Pd 0.500 0.000 0.000
Ru 0.500 0.500 0.500



Record 19
Below is crystalline RbCa2Pm at its relaxed geometry, with properties calculated at the PBE level.

Summary:
The total magnetization comes out at 0.1563 μB per atom. The calculation puts the calculated total energy at -2.253 eV per atom. The space-group type is P4/mmm. Its formation energy is 177 meV per atom.

Cell: 3.930 3.930 12.258 Å, 90.00 90.00 90.00°
Fractional positions:
Rb 0.000 0.000 0.000
Ca 0.500 0.500 0.296
Ca 0.500 0.500 0.704
Pm 0.000 0.000 0.500



Record 20
Below is crystalline HfMn2Tc at its relaxed geometry, with properties calculated at the PBE level.

Summary:
The total magnetization comes out at 1.0186 μB per atom. The calculation puts the calculated total energy at -9.257 eV per atom. The space-group type is I-42d. The relative energy among the computed polymorphs comes out at 401 meV per atom. Its formation energy is 408 meV per atom.

Cell: 5.583 5.583 5.583 Å, 103.24 103.24 122.83°
Fractional positions:
Hf 0.000 0.000 0.000
Hf 0.750 0.250 0.500
Mn 0.159 0.625 0.034
Mn 0.375 0.409 0.534
Mn 0.591 0.125 0.966
Mn 0.875 0.841 0.466
Tc 0.250 0.750 0.500
Tc 0.500 0.500 0.000